1.
## Ti2AlB6 (PBE-GGA)

Data for Ti2AlB6 after structural relaxation.

Lattice parameters (Å, degrees): 5.2371 5.2371 3.2226 90.00 90.00 120.00
Space group P6/mmm (No. 191)
Inequivalent atoms, fractional coordinates:
Ti 0.3333 0.6667 0.0000 x2
Al 0.0000 0.0000 0.0000 x1
B 0.0000 0.3327 0.5000 x6

Properties
DFT total energy   -7.311 eV per atom
Calculated volume   76.5 Å³ per cell
Spin magnetization   0.00 μB per formula unit


2.
## CoAs2Rh (PBE-GGA)

Data for CoAs2Rh after structural relaxation.

Lattice parameters (Å, degrees): 3.504 4.557 4.527 90.00 112.63 90.00
Space group Pm (No. 6)
Inequivalent atoms, fractional coordinates:
Co 0.000 0.000 0.000 x1
As 0.120 0.500 0.244 x1
As 0.315 0.000 0.629 x1
Rh 0.431 0.500 0.865 x1

Properties
DFT total energy   -6.121 eV per atom
Calculated volume   66.7 Å³ per cell
Spin magnetization   0.16 μB per formula unit


3.
## Ho5BiSe5 (PBE-GGA)

Data for Ho5BiSe5 after structural relaxation.

Lattice parameters (Å, degrees): 12.966 5.873 8.264 90.00 108.26 90.00
Space group C2/m (No. 12)
Inequivalent atoms, fractional coordinates:
Ho 0.000 0.000 0.000 x2
Ho 0.168 0.500 0.819 x4
Ho 0.170 0.500 0.348 x4
Bi 0.000 0.500 0.000 x2
Se 0.000 0.500 0.500 x2
Se 0.162 0.000 0.334 x4
Se 0.171 0.000 0.838 x4

Properties
DFT total energy   -5.635 eV per atom
Calculated volume   597.7 Å³ per cell
ΔE_f (raw)   -1.62 eV per atom
Spin magnetization   0.00 μB per formula unit


Q: What is the formula in the second record?
A: CoAs2Rh


Q: Among the records above, which one has the highest calculated volume?
A: Ho5BiSe5